# 1
# PBE ZrInSe2, relaxed
data_ZrInSe2
_symmetry_space_group_name_H-M 'P n m a'
_symmetry_Int_Tables_number 62
_cell_length_a 6.6292
_cell_length_b 3.8834
_cell_length_c 14.9845
_cell_angle_alpha 90.00
_cell_angle_beta 90.00
_cell_angle_gamma 90.00
loop_
_symmetry_equiv_pos_as_xyz
'x,y,z'
'-x,-y,-z'
'-x+1/2,-y,z+1/2'
'x+1/2,y,-z+1/2'
'x+1/2,-y+1/2,-z+1/2'
'-x+1/2,y+1/2,z+1/2'
'-x,y+1/2,-z'
'x,-y+1/2,z'
loop_
_atom_site_label
_atom_site_fract_x
_atom_site_fract_y
_atom_site_fract_z
Zr1 0.0184 0.2500 0.1102
In1 0.1414 0.7500 0.3560
Se1 0.1304 0.7500 0.7188
Se2 0.2416 0.7500 0.0312
# raw formation energy = -0.810 eV/atom
# size of the total moment = 0.00 μB/f.u.
# final energy = -5.3742 eV per atom
# ρ = 6.3 Mg/m³

---

# 2
# PBE KAlC, relaxed
data_KAlC
_symmetry_space_group_name_H-M 'F d d 2'
_symmetry_Int_Tables_number 43
_symmetry_space_group_name_Hall 'F 2 -2d'
_cell_length_a 11.7915
_cell_length_b 12.8009
_cell_length_c 6.6760
_cell_angle_alpha 90.00
_cell_angle_beta 90.00
_cell_angle_gamma 90.00
loop_
_atom_site_label
_atom_site_fract_x
_atom_site_fract_y
_atom_site_fract_z
K1 0.0857 0.2879 0.0000
Al1 0.0766 0.0680 0.2287
C1 0.0883 0.4158 0.6439
# size of the total moment = 0.00 μB/f.u.
# final energy = -4.2961 eV per atom
# ρ = 2.1 Mg/m³
# E_form = 0.39 eV per atom

---

# 3
# PBE V2Ir9Ru, relaxed
data_V2Ir9Ru
_symmetry_space_group_name_H-M 'P 4/m m m'
_symmetry_Int_Tables_number 123
_symmetry_space_group_name_Hall '-P 4 2'
_cell_length_a 3.8458
_cell_length_b 3.8458
_cell_length_c 11.5392
_cell_angle_alpha 90.00
_cell_angle_beta 90.00
_cell_angle_gamma 90.00
loop_
_atom_site_label
_atom_site_fract_x
_atom_site_fract_y
_atom_site_fract_z
V1 0.0000 0.0000 0.1655
Ir1 0.0000 0.5000 0.0000
Ir2 0.0000 0.5000 0.3318
Ir3 0.5000 0.5000 0.1664
Ir4 0.5000 0.5000 0.5000
Ru1 0.0000 0.0000 0.5000
# size of the total moment = 0.00 μB/f.u.
# final energy = -9.2486 eV per atom
# ρ = 18.8 Mg/m³
# E_form = -0.31 eV per atom

---

# 4
# PBE Pu2Ge7Pd12, relaxed
data_Pu2Ge7Pd12
_symmetry_space_group_name_H-M 'P -6'
_symmetry_Int_Tables_number 174
_cell_length_a 10.2767
_cell_length_b 10.2767
_cell_length_c 3.8898
_cell_angle_alpha 90.00
_cell_angle_beta 90.00
_cell_angle_gamma 120.00
loop_
_symmetry_equiv_pos_as_xyz
'x,y,z'
'-x+y,-x,-z'
'-y,x-y,z'
'x,y,-z'
'-x+y,-x,z'
'-y,x-y,-z'
loop_
_atom_site_label
_atom_site_fract_x
_atom_site_fract_y
_atom_site_fract_z
Pu1 0.0000 0.0000 0.0000
Pu2 0.3333 0.6667 0.5000
Ge1 0.0745 0.6170 0.0000
Ge2 0.2562 0.0428 0.5000
Ge3 0.6667 0.3333 0.0000
Pd1 0.0504 0.7685 0.5000
Pd2 0.1063 0.3922 0.0000
Pd3 0.3932 0.2165 0.0000
Pd4 0.5329 0.1037 0.5000
# size of the total moment = 11.09 μB/f.u.
# final energy = -6.4579 eV per atom
# ρ = 10.6 Mg/m³
# E_form = -0.59 eV per atom

---

# 5
# PBE RbPuZnO6, relaxed
data_RbPuZnO6
_symmetry_space_group_name_H-M 'P 3 1 2'
_symmetry_Int_Tables_number 149
_cell_length_a 5.3823
_cell_length_b 5.3823
_cell_length_c 6.4188
_cell_angle_alpha 90.00
_cell_angle_beta 90.00
_cell_angle_gamma 120.00
loop_
_symmetry_equiv_pos_as_xyz
'x,y,z'
'-y,x-y,z'
'-x+y,-x,z'
'-y,-x,-z'
'-x+y,y,-z'
'x,x-y,-z'
loop_
_atom_site_label
_atom_site_fract_x
_atom_site_fract_y
_atom_site_fract_z
Rb1 0.0000 0.0000 0.0000
Pu1 0.3333 0.6667 0.5000
Zn1 0.6667 0.3333 0.5000
O1 0.0183 0.3940 0.6792
# raw formation energy = -1.579 eV/atom
# size of the total moment = 1.03 μB/f.u.
# final energy = -6.7258 eV per atom
# ρ = 5.1 Mg/m³

---

# 6
# PBE BaY2MgOs, relaxed
data_BaY2MgOs
_symmetry_space_group_name_H-M 'P 4/m m m'
_symmetry_Int_Tables_number 123
_symmetry_space_group_name_Hall '-P 4 2'
_cell_length_a 5.4266
_cell_length_b 5.4266
_cell_length_c 5.4812
_cell_angle_alpha 90.00
_cell_angle_beta 90.00
_cell_angle_gamma 90.00
loop_
_atom_site_label
_atom_site_fract_x
_atom_site_fract_y
_atom_site_fract_z
Ba1 0.0000 0.0000 0.0000
Y1 0.0000 0.5000 0.5000
Mg1 0.5000 0.5000 0.0000
Os1 0.5000 0.5000 0.5000
# size of the total moment = 0.00 μB/f.u.
# final energy = -5.5303 eV per atom
# ρ = 5.4 Mg/m³
# E_form = 0.00 eV per atom